No. 1
DFT (GGA-PBE) results for a geometry-optimized Sr2MnCl structure.

Unit cell a=4.1054 b=3.8434 c=8.6842 alpha=90.00 beta=90.27 gamma=90.00
With the nearest neighbours (Å) after each atom.
Sites, in units of the cell vectors:
Sr: 0.0019 0.0000 0.2283  2 Cl 3.04
Sr: 0.9981 0.0000 0.7717  2 Cl 3.04
Mn: 0.5000 0.5000 0.0000  8 Sr 3.44, 2 Mn 3.84
Cl: 0.0000 0.5000 0.5000  4 Sr 3.04

Properties
- N(E_F): 1.055 states/eV/atom
- Uncorrected formation energy: -0.4954 eV per atom
- SG: P2/m (10)
- Total magnetization: 3.62 μB/f.u.

---

No. 2
DFT (GGA-PBE) results for a geometry-optimized SnSbTeF2 structure.

Unit cell a=4.3718 b=4.3718 c=6.2939 alpha=90.00 beta=90.00 gamma=90.00
With the nearest neighbours (Å) after each atom.
Sites, in units of the cell vectors:
Sn: 0.0000 0.0000 0.0000  4 F 2.19
Sb: 0.0000 0.0000 0.5000  4 Te 3.09, 2 Sn 3.15
Te: 0.5000 0.5000 0.5000  4 Sb 3.09
F: 0.0000 0.5000 0.0000  2 Sn 2.19
F: 0.5000 0.0000 0.0000  2 Sn 2.19

Properties
- N(E_F): 0.459 states/eV/atom
- Uncorrected formation energy: -1.2202 eV per atom
- SG: P4/mmm (123)
- Total magnetization: 0.00 μB/f.u.